[1]
Density functional theory data (PBE) for an optimized crystal structure of CeGe2Ru.

Summary:
ΔH_f (0 K) (eV per atom): -0.622
Volume (Å³ per atom): 19.23

```
data_CeGe2Ru
_space_group_name_H-M_alt 'R -3 m'
_space_group_IT_number 166
_space_group_name_Hall '-R 3 2"'
_cell_length_a 4.2483
_cell_length_b 4.2483
_cell_length_c 14.7651
_cell_angle_alpha 90.00
_cell_angle_beta 90.00
_cell_angle_gamma 120.00
loop_
_atom_site_label
_atom_site_type_symbol
_atom_site_fract_x
_atom_site_fract_y
_atom_site_fract_z
Ce1 Ce 0.0000 0.0000 0.0000
Ge1 Ge 0.0000 0.0000 0.2198
Ru1 Ru 0.0000 0.0000 0.5000
```

=====

[2]
Density functional theory data (PBE) for an optimized crystal structure of Ga2SiS4.

Summary:
Energy relative to the elements, uncorrected (eV per atom): -0.436
Volume (Å³ per atom): 24.66

```
data_Ga2SiS4
_space_group_name_H-M_alt 'I -4 2 m'
_space_group_IT_number 121
_space_group_name_Hall 'I -4 2'
_cell_length_a 6.3378
_cell_length_b 6.3378
_cell_length_c 8.5961
_cell_angle_alpha 90.00
_cell_angle_beta 90.00
_cell_angle_gamma 90.00
loop_
_atom_site_label
_atom_site_type_symbol
_atom_site_fract_x
_atom_site_fract_y
_atom_site_fract_z
Ga1 Ga 0.0000 0.5000 0.2500
Si1 Si 0.0000 0.0000 0.0000
S1 S 0.2096 0.2096 0.1208
```

=====

[3]
Density functional theory data (PBE) for an optimized crystal structure of TlCu2Br8.

Summary:
ΔE to the lowest computed polymorph (meV per atom): 0
Energy relative to the elements, uncorrected (eV per atom): -0.277
Volume (Å³ per atom): 38.31

```
data_TlCu2Br8
_space_group_name_H-M_alt 'C 1 2/m 1'
_space_group_IT_number 12
_cell_length_a 11.5693
_cell_length_b 11.3696
_cell_length_c 6.7961
_cell_angle_alpha 90.00
_cell_angle_beta 109.47
_cell_angle_gamma 90.00
loop_
_space_group_symop_operation_xyz
'x,y,z'
'-x,-y,-z'
'-x,y,-z'
'x,-y,z'
'x+1/2,y+1/2,z'
'-x+1/2,-y+1/2,-z'
'-x+1/2,y+1/2,-z'
'x+1/2,-y+1/2,z'
loop_
_atom_site_label
_atom_site_type_symbol
_atom_site_fract_x
_atom_site_fract_y
_atom_site_fract_z
Tl1 Tl 0.0000 0.0000 0.0000
Cu1 Cu 0.1959 0.0000 0.6706
Br1 Br 0.0735 0.5000 0.1805
Br2 Br 0.1077 0.1593 0.8050
Br3 Br 0.2363 0.0000 0.3557
```

=====

[4]
Density functional theory data (PBE) for an optimized crystal structure of Ni2MoOs.

Summary:
ΔE to the lowest computed polymorph (meV per atom): 57
ΔH_f (0 K) (eV per atom): 0.043
Volume (Å³ per atom): 12.98

```
data_Ni2MoOs
_space_group_name_H-M_alt 'F m m m'
_space_group_IT_number 69
_space_group_name_Hall '-F 2 2'
_cell_length_a 5.2126
_cell_length_b 5.2276
_cell_length_c 7.6240
_cell_angle_alpha 90.00
_cell_angle_beta 90.00
_cell_angle_gamma 90.00
loop_
_atom_site_label
_atom_site_type_symbol
_atom_site_fract_x
_atom_site_fract_y
_atom_site_fract_z
Ni1 Ni 0.2500 0.2500 0.2500
Mo1 Mo 0.0000 0.0000 0.0000
Os1 Os 0.0000 0.0000 0.5000
```

=====

[5]
Density functional theory data (PBE) for an optimized crystal structure of TiTlRu3.

Summary:
ΔH_f (0 K) (eV per atom): 2.190
Volume (Å³ per atom): 22.64

```
data_TiTlRu3
_space_group_name_H-M_alt 'P m -3 m'
_space_group_IT_number 221
_space_group_name_Hall '-P 4 2 3'
_cell_length_a 4.8375
_cell_length_b 4.8375
_cell_length_c 4.8375
_cell_angle_alpha 90.00
_cell_angle_beta 90.00
_cell_angle_gamma 90.00
loop_
_atom_site_label
_atom_site_type_symbol
_atom_site_fract_x
_atom_site_fract_y
_atom_site_fract_z
Ti1 Ti 0.0000 0.0000 0.0000
Tl1 Tl 0.5000 0.5000 0.5000
Ru1 Ru 0.0000 0.5000 0.5000
```

=====

[6]
Density functional theory data (PBE) for an optimized crystal structure of La2SmLu.

Summary:
ΔE to the lowest computed polymorph (meV per atom): 72
ΔH_f (0 K) (eV per atom): 0.090
Volume (Å³ per atom): 34.62

```
data_La2SmLu
_space_group_name_H-M_alt 'F m -3 m'
_space_group_IT_number 225
_space_group_name_Hall '-F 4 2 3'
_cell_length_a 8.2127
_cell_length_b 8.2127
_cell_length_c 8.2127
_cell_angle_alpha 90.00
_cell_angle_beta 90.00
_cell_angle_gamma 90.00
loop_
_atom_site_label
_atom_site_type_symbol
_atom_site_fract_x
_atom_site_fract_y
_atom_site_fract_z
La1 La 0.2500 0.2500 0.2500
Sm1 Sm 0.0000 0.0000 0.0000
Lu1 Lu 0.0000 0.0000 0.5000
```

=====

[7]
Density functional theory data (PBE) for an optimized crystal structure of Ni2SBr.

Summary:
ΔE to the lowest computed polymorph (meV per atom): 687
Energy relative to the elements, uncorrected (eV per atom): 0.484
Volume (Å³ per atom): 14.48

```
data_Ni2SBr
_space_group_name_H-M_alt 'F m -3 m'
_space_group_IT_number 225
_space_group_name_Hall '-F 4 2 3'
_cell_length_a 6.1413
_cell_length_b 6.1413
_cell_length_c 6.1413
_cell_angle_alpha 90.00
_cell_angle_beta 90.00
_cell_angle_gamma 90.00
loop_
_atom_site_label
_atom_site_type_symbol
_atom_site_fract_x
_atom_site_fract_y
_atom_site_fract_z
Ni1 Ni 0.2500 0.2500 0.2500
S1 S 0.0000 0.0000 0.0000
Br1 Br 0.0000 0.0000 0.5000
```

=====

[8]
Density functional theory data (PBE) for an optimized crystal structure of GaSb2PdS.

Summary:
Energy relative to the elements, uncorrected (eV per atom): 0.271
Volume (Å³ per atom): 25.96

```
data_GaSb2PdS
_space_group_name_H-M_alt 'P 4/m m m'
_space_group_IT_number 123
_space_group_name_Hall '-P 4 2'
_cell_length_a 5.2329
_cell_length_b 5.2329
_cell_length_c 4.7401
_cell_angle_alpha 90.00
_cell_angle_beta 90.00
_cell_angle_gamma 90.00
loop_
_atom_site_label
_atom_site_type_symbol
_atom_site_fract_x
_atom_site_fract_y
_atom_site_fract_z
Ga1 Ga 0.0000 0.0000 0.0000
Sb1 Sb 0.0000 0.5000 0.5000
Pd1 Pd 0.0000 0.0000 0.5000
S1 S 0.5000 0.5000 0.0000
```